Here is a geometry-optimized SrY2MgRh structure from Alexandria. Energies are from PBE.

a = 5.3750 Å, b = 5.3750 Å, c = 5.3851 Å
α = 90.00°, β = 90.00°, γ = 90.00°
Last column: nearest neighbours and their distance in Å.
Fractional positions:
Rh 0.0000 0.0000 0.0000  4 Y 2.69, 2 Mg 2.69
Y 0.5000 0.0000 0.0000  2 Rh 2.69
Mg 0.0000 0.0000 0.5000  2 Rh 2.69
Y 0.0000 0.5000 0.0000  2 Rh 2.69
Sr 0.5000 0.5000 0.5000  4 Mg 3.80, 8 Y 3.80

- raw total energy (eV per atom) = -5.01